No. 1
TcSb4Rh after structural relaxation, computed with PBE-GGA.

a b c (Å): 8.523 8.523 6.020
angles (deg): 110.56 110.56 119.84
Positions (direct):
Tc1 0.046 0.954 0.750
Tc2 0.954 0.046 0.250
Sb1 0.000 0.380 0.250
Sb2 0.000 0.620 0.750
Sb3 0.250 0.364 0.866
Sb4 0.364 0.250 0.366
Sb5 0.380 0.000 0.750
Sb6 0.620 0.000 0.250
Sb7 0.636 0.750 0.634
Sb8 0.750 0.636 0.134
Rh1 0.298 0.702 0.250
Rh2 0.702 0.298 0.750

## Properties
**N(E_F)**: 0.286 states/eV per atom
**Spin magnetization**: 0.00 Bohr magnetons per cell
**Symmetry**: C2/c (15)
**Polymorph energy (0 for the lowest one)**: 0.000 eV/atom
**E**: -5.9218 eV per atom
**Formation energy from raw total energies**: -0.221 eV/atom
**Density**: 8.44 Mg/m³

***

No. 2
CeErZnOs after structural relaxation, computed with PBE-GGA.

a b c (Å): 6.969 6.969 6.969
angles (deg): 90.00 90.00 90.00
Positions (direct):
Ce1 0.000 0.000 0.000
Ce2 0.000 0.500 0.500
Ce3 0.500 0.000 0.500
Ce4 0.500 0.500 0.000
Er1 0.000 0.000 0.500
Er2 0.000 0.500 0.000
Er3 0.500 0.000 0.000
Er4 0.500 0.500 0.500
Zn1 0.250 0.250 0.250
Zn2 0.250 0.750 0.750
Zn3 0.750 0.250 0.750
Zn4 0.750 0.750 0.250
Os1 0.250 0.250 0.750
Os2 0.250 0.750 0.250
Os3 0.750 0.250 0.250
Os4 0.750 0.750 0.750

## Properties
**N(E_F)**: 0.705 states/eV per atom
**Spin magnetization**: 0.00 Bohr magnetons per cell
**Symmetry**: F-43m (216)
**E**: -6.0025 eV per atom
**Density**: 11.05 Mg/m³

***

No. 3
Sr2BiSbPd6 after structural relaxation, computed with PBE-GGA.

a b c (Å): 6.951 6.951 9.048
angles (deg): 128.93 128.93 48.21
Positions (direct):
Sr1 0.248 0.248 0.275
Sr2 0.752 0.752 0.725
Bi1 0.000 0.000 0.500
Sb1 0.500 0.500 0.000
Pd1 0.250 0.748 0.243
Pd2 0.251 0.251 0.913
Pd3 0.252 0.750 0.757
Pd4 0.748 0.250 0.243
Pd5 0.749 0.749 0.087
Pd6 0.750 0.252 0.757

## Properties
**N(E_F)**: 0.449 states/eV per atom
**Spin magnetization**: 0.00 Bohr magnetons per cell
**Symmetry**: C2/m (12)
**E**: -4.7915 eV per atom
**Formation energy from raw total energies**: -0.539 eV/atom
**Density**: 8.04 Mg/m³

***

Number 2 is which compound?
CeErZnOs

***

Look up the density of the first one.
8.44 Mg/m³

***

Please write out number 2 again, unchanged.
CeErZnOs after structural relaxation, computed with PBE-GGA.

a b c (Å): 6.969 6.969 6.969
angles (deg): 90.00 90.00 90.00
Positions (direct):
Ce1 0.000 0.000 0.000
Ce2 0.000 0.500 0.500
Ce3 0.500 0.000 0.500
Ce4 0.500 0.500 0.000
Er1 0.000 0.000 0.500
Er2 0.000 0.500 0.000
Er3 0.500 0.000 0.000
Er4 0.500 0.500 0.500
Zn1 0.250 0.250 0.250
Zn2 0.250 0.750 0.750
Zn3 0.750 0.250 0.750
Zn4 0.750 0.750 0.250
Os1 0.250 0.250 0.750
Os2 0.250 0.750 0.250
Os3 0.750 0.250 0.250
Os4 0.750 0.750 0.750

## Properties
**N(E_F)**: 0.705 states/eV per atom
**Spin magnetization**: 0.00 Bohr magnetons per cell
**Symmetry**: F-43m (216)
**E**: -6.0025 eV per atom
**Density**: 11.05 Mg/m³